1 | This record from Alexandria describes crystalline TcNiBr2 at its relaxed geometry. The functional is PBE.

Output
Calculated volume   16.87 Å³ per atom
Mass density   7.79 g/cm3
Magnetic moment   0.0 μB/cell

a = 7.7334 Å, b = 7.7334 Å, c = 7.7334 Å
α = 24.05°, β = 24.05°, γ = 24.05°
Closest atoms and distances in Å follow each position.
Sites, in units of the cell vectors:
Tc 0.7500 0.7500 0.7500  6 Br 2.70
Br 0.9966 0.9966 0.9966  3 Ni 2.59, 3 Tc 2.70
Br 0.5034 0.5034 0.5034  3 Ni 2.59, 3 Tc 2.70
Ni 0.2500 0.2500 0.2500  6 Br 2.59

***

2 | This record from Alexandria describes crystalline TcNiBr2 at its relaxed geometry. The functional is PBE.

Output
Calculated volume   20.09 Å³ per atom
Mass density   6.54 g/cm3
Magnetic moment   0.0 μB/cell

a = 3.1587 Å, b = 3.1587 Å, c = 8.0552 Å
α = 90.00°, β = 90.00°, γ = 90.00°
Closest atoms and distances in Å follow each position.
Sites, in units of the cell vectors:
Tc 0.5000 0.5000 0.7056  4 Ni 2.64, 5 Br 2.75-2.78
Br 0.5000 0.5000 0.3601  4 Ni 2.62, 1 Tc 2.78
Br 0.0000 0.0000 0.9037  4 Tc 2.75, 1 Ni 3.00
Ni 0.0000 0.0000 0.5307  4 Br 2.62, 4 Tc 2.64

***

Which structure is most stable? 2, by 26.6 kJ/mol of atoms over the runner-up.